1.
Here is a relaxed structure of ThMg2Zn2Pd from the Alexandria database. Energies are from PBE.

Calculated values
**Energy**: -2.937 eV/atom
**Energy relative to the elements**: 0.122 eV/atom

Cell and atoms, written as CIF:
```
data_ThMg2Zn2Pd
_chemical_formula_sum 'Th2 Mg4 Zn4 Pd2'
_cell_length_a 4.958
_cell_length_b 4.958
_cell_length_c 11.074
_cell_angle_alpha 90.00
_cell_angle_beta 90.00
_cell_angle_gamma 90.00
_symmetry_space_group_name_H-M 'I 4/m m m'
_symmetry_Int_Tables_number 139
_symmetry_space_group_name_Hall '-I 4 2'
loop_
_atom_site_label
_atom_site_type_symbol
_atom_site_fract_x
_atom_site_fract_y
_atom_site_fract_z
Th1 Th 0.000 0.000 0.000
Mg1 Mg 0.000 0.500 0.250
Zn1 Zn 0.000 0.000 0.281
Pd1 Pd 0.000 0.000 0.500
```

2.
Here is a relaxed structure of VPdS2 from the Alexandria database. Energies are from PBE.

Calculated values
**Energy**: -6.274 eV/atom
**Formation energy without anion corrections**: -0.63 eV/atom

Cell and atoms, written as CIF:
```
data_VPdS2
_chemical_formula_sum 'V2 Pd2 S4'
_cell_length_a 5.920
_cell_length_b 3.264
_cell_length_c 6.891
_cell_angle_alpha 90.00
_cell_angle_beta 106.26
_cell_angle_gamma 90.00
_symmetry_space_group_name_H-M 'P 1 m 1'
_symmetry_Int_Tables_number 6
_symmetry_space_group_name_Hall 'P -2y'
loop_
_atom_site_label
_atom_site_type_symbol
_atom_site_fract_x
_atom_site_fract_y
_atom_site_fract_z
V1 V 0.000 0.000 0.000
V2 V 0.408 0.500 0.988
Pd1 Pd 0.043 0.000 0.420
Pd2 Pd 0.636 0.500 0.427
S1 S 0.211 0.000 0.765
S2 S 0.212 0.500 0.234
S3 S 0.682 0.000 0.156
S4 S 0.726 0.500 0.791
```

3.
Here is a relaxed structure of MgSiIr2 from the Alexandria database. Energies are from PBE.

Calculated values
**Energy**: -6.456 eV/atom
**Formation energy without anion corrections**: -0.27 eV/atom

Cell and atoms, written as CIF:
```
data_MgSiIr2
_chemical_formula_sum 'Mg2 Si2 Ir4'
_cell_length_a 3.700
_cell_length_b 3.700
_cell_length_c 8.359
_cell_angle_alpha 90.00
_cell_angle_beta 90.00
_cell_angle_gamma 90.00
_symmetry_space_group_name_H-M 'I -4 m 2'
_symmetry_Int_Tables_number 119
_symmetry_space_group_name_Hall 'I -4 -2'
loop_
_atom_site_label
_atom_site_type_symbol
_atom_site_fract_x
_atom_site_fract_y
_atom_site_fract_z
Mg1 Mg 0.000 0.000 0.000
Si1 Si 0.000 0.500 0.750
Ir1 Ir 0.000 0.000 0.500
Ir2 Ir 0.000 0.500 0.250
```

4.
Here is a relaxed structure of Re3Ag from the Alexandria database. Energies are from PBE.

Calculated values
**Energy**: -9.588 eV/atom
**E above lowest polymorph**: 185 meV per atom
**Energy relative to the elements**: 0.461 eV/atom

Cell and atoms, written as CIF:
```
data_Re3Ag
_chemical_formula_sum 'Re6 Ag2'
_cell_length_a 2.920
_cell_length_b 4.541
_cell_length_c 9.561
_cell_angle_alpha 90.00
_cell_angle_beta 90.00
_cell_angle_gamma 90.00
_symmetry_space_group_name_H-M 'C m m m'
_symmetry_Int_Tables_number 65
_symmetry_space_group_name_Hall '-C 2 2'
loop_
_atom_site_label
_atom_site_type_symbol
_atom_site_fract_x
_atom_site_fract_y
_atom_site_fract_z
Re1 Re 0.000 0.000 0.000
Re2 Re 0.000 0.500 0.234
Ag1 Ag 0.000 0.000 0.500
```

5.
Here is a relaxed structure of ZrHgS from the Alexandria database. Energies are from PBE.

Calculated values
**Energy**: -4.974 eV/atom
**Formation energy without anion corrections**: -0.65 eV/atom

Cell and atoms, written as CIF:
```
data_ZrHgS
_chemical_formula_sum 'Zr4 Hg4 S4'
_cell_length_a 3.5142
_cell_length_b 3.5142
_cell_length_c 25.6484
_cell_angle_alpha 90.00
_cell_angle_beta 90.00
_cell_angle_gamma 120.00
_symmetry_space_group_name_H-M 'P -3 m 1'
_symmetry_Int_Tables_number 164
_symmetry_space_group_name_Hall '-P 3 2"'
loop_
_atom_site_label
_atom_site_type_symbol
_atom_site_fract_x
_atom_site_fract_y
_atom_site_fract_z
Zr1 Zr 0.3333 0.6667 0.1266
Zr2 Zr 0.3333 0.6667 0.6329
Hg1 Hg 0.3333 0.6667 0.2782
Hg2 Hg 0.3333 0.6667 0.4544
S1 S 0.3333 0.6667 0.8078
S2 S 0.3333 0.6667 0.9332
```

6.
Here is a relaxed structure of Mn2SeS from the Alexandria database. Energies are from PBE.

Calculated values
**Energy**: -6.900 eV/atom
**Formation energy without anion corrections**: -0.41 eV/atom
**E above lowest polymorph**: 0 meV per atom

Cell and atoms, written as CIF:
```
data_Mn2SeS
_chemical_formula_sum 'Mn2 Se1 S1'
_cell_length_a 4.091
_cell_length_b 4.091
_cell_length_c 5.778
_cell_angle_alpha 90.00
_cell_angle_beta 90.00
_cell_angle_gamma 90.00
_symmetry_space_group_name_H-M 'P -4 m 2'
_symmetry_Int_Tables_number 115
_symmetry_space_group_name_Hall 'P -4 -2'
loop_
_atom_site_label
_atom_site_type_symbol
_atom_site_fract_x
_atom_site_fract_y
_atom_site_fract_z
Mn1 Mn 0.000 0.500 0.234
Se1 Se 0.000 0.000 0.500
S1 S 0.500 0.500 0.000
```

7.
Here is a relaxed structure of BaSc2Cl from the Alexandria database. Energies are from PBE.

Calculated values
**Energy**: -4.328 eV/atom
**Formation energy without anion corrections**: -0.22 eV/atom
**E above lowest polymorph**: 275 meV per atom

Cell and atoms, written as CIF:
```
data_BaSc2Cl
_chemical_formula_sum 'Ba3 Sc6 Cl3'
_cell_length_a 3.6306
_cell_length_b 3.6306
_cell_length_c 29.2153
_cell_angle_alpha 90.00
_cell_angle_beta 90.00
_cell_angle_gamma 120.00
_symmetry_space_group_name_H-M 'R -3 m'
_symmetry_Int_Tables_number 166
_symmetry_space_group_name_Hall '-R 3 2"'
loop_
_atom_site_label
_atom_site_type_symbol
_atom_site_fract_x
_atom_site_fract_y
_atom_site_fract_z
Ba1 Ba 0.0000 0.0000 0.0000
Sc1 Sc 0.0000 0.0000 0.1162
Cl1 Cl 0.0000 0.0000 0.5000
```

8.
Here is a relaxed structure of TaGeTePt from the Alexandria database. Energies are from PBE.

Calculated values
**Energy**: -6.524 eV/atom
**Formation energy without anion corrections**: -0.11 eV/atom
**E above lowest polymorph**: 123 meV per atom

Cell and atoms, written as CIF:
```
data_TaGeTePt
_chemical_formula_sum 'Ta2 Ge2 Te2 Pt2'
_cell_length_a 4.739
_cell_length_b 4.719
_cell_length_c 7.867
_cell_angle_alpha 90.00
_cell_angle_beta 104.21
_cell_angle_gamma 90.00
_symmetry_space_group_name_H-M 'C 1 m 1'
_symmetry_Int_Tables_number 8
_symmetry_space_group_name_Hall 'C -2y'
loop_
_atom_site_label
_atom_site_type_symbol
_atom_site_fract_x
_atom_site_fract_y
_atom_site_fract_z
Ta1 Ta 0.000 0.000 0.000
Ge1 Ge 0.360 0.500 0.615
Te1 Te 0.087 0.500 0.207
Pt1 Pt 0.423 0.000 0.761
```

9.
Here is a relaxed structure of LiTi2N3 from the Alexandria database. Energies are from PBE.

Calculated values
**Energy**: -8.395 eV/atom
**Formation energy without anion corrections**: -1.28 eV/atom
**E above lowest polymorph**: 71 meV per atom

Cell and atoms, written as CIF:
```
data_LiTi2N3
_chemical_formula_sum 'Li2 Ti4 N6'
_cell_length_a 5.163
_cell_length_b 3.002
_cell_length_c 7.791
_cell_angle_alpha 90.00
_cell_angle_beta 104.45
_cell_angle_gamma 90.00
_symmetry_space_group_name_H-M 'P 1 21/m 1'
_symmetry_Int_Tables_number 11
_symmetry_space_group_name_Hall '-P 2yb'
loop_
_atom_site_label
_atom_site_type_symbol
_atom_site_fract_x
_atom_site_fract_y
_atom_site_fract_z
Li1 Li 0.026 0.250 0.340
Ti1 Ti 0.243 0.250 0.993
Ti2 Ti 0.477 0.250 0.659
N1 N 0.150 0.750 0.147
N2 N 0.289 0.750 0.508
N3 N 0.370 0.750 0.844
```

10.
Here is a relaxed structure of Ac3La3In2Ga from the Alexandria database. Energies are from PBE.

Calculated values
**Energy**: -4.271 eV/atom
**Energy relative to the elements**: -0.314 eV/atom

Cell and atoms, written as CIF:
```
data_Ac3La3In2Ga
_chemical_formula_sum 'Ac3 La3 In2 Ga1'
_cell_length_a 9.4328
_cell_length_b 9.4328
_cell_length_c 4.0418
_cell_angle_alpha 90.00
_cell_angle_beta 90.00
_cell_angle_gamma 120.00
_symmetry_space_group_name_H-M 'P -6 2 m'
_symmetry_Int_Tables_number 189
_symmetry_space_group_name_Hall 'P -6 -2'
loop_
_atom_site_label
_atom_site_type_symbol
_atom_site_fract_x
_atom_site_fract_y
_atom_site_fract_z
Ac1 Ac 0.0000 0.7329 0.0000
La1 La 0.0000 0.3949 0.5000
In1 In 0.3333 0.6667 0.0000
Ga1 Ga 0.0000 0.0000 0.5000
```

11.
Here is a relaxed structure of ZnCu8Au4 from the Alexandria database. Energies are from PBE.

Calculated values
**Energy**: -3.617 eV/atom
**Energy relative to the elements**: 0.010 eV/atom

Cell and atoms, written as CIF:
```
data_ZnCu8Au4
_chemical_formula_sum 'Zn1 Cu8 Au4'
_cell_length_a 2.767
_cell_length_b 4.314
_cell_length_c 15.830
_cell_angle_alpha 90.00
_cell_angle_beta 90.00
_cell_angle_gamma 90.00
_symmetry_space_group_name_H-M 'P m m 2'
_symmetry_Int_Tables_number 25
_symmetry_space_group_name_Hall 'P 2 -2'
loop_
_atom_site_label
_atom_site_type_symbol
_atom_site_fract_x
_atom_site_fract_y
_atom_site_fract_z
Zn1 Zn 0.000 0.000 0.000
Cu1 Cu 0.000 0.000 0.556
Cu2 Cu 0.000 0.000 0.846
Cu3 Cu 0.000 0.500 0.088
Cu4 Cu 0.000 0.500 0.757
Cu5 Cu 0.500 0.000 0.133
Cu6 Cu 0.500 0.000 0.422
Cu7 Cu 0.500 0.500 0.225
Cu8 Cu 0.500 0.500 0.603
Au1 Au 0.000 0.000 0.280
Au2 Au 0.000 0.500 0.452
Au3 Au 0.500 0.000 0.701
Au4 Au 0.500 0.500 0.918
```

12.
Here is a relaxed structure of MgReAu2 from the Alexandria database. Energies are from PBE.

Calculated values
**Energy**: -5.035 eV/atom
**Energy relative to the elements**: 0.115 eV/atom

Cell and atoms, written as CIF:
```
data_MgReAu2
_chemical_formula_sum 'Mg2 Re2 Au4'
_cell_length_a 5.853
_cell_length_b 8.268
_cell_length_c 2.762
_cell_angle_alpha 90.00
_cell_angle_beta 90.00
_cell_angle_gamma 90.00
_symmetry_space_group_name_H-M 'C m m m'
_symmetry_Int_Tables_number 65
_symmetry_space_group_name_Hall '-C 2 2'
loop_
_atom_site_label
_atom_site_type_symbol
_atom_site_fract_x
_atom_site_fract_y
_atom_site_fract_z
Mg1 Mg 0.000 0.000 0.000
Re1 Re 0.000 0.500 0.000
Au1 Au 0.250 0.250 0.500
```

13.
Here is a relaxed structure of Al2InS from the Alexandria database. Energies are from PBE.

Calculated values
**Energy**: -3.328 eV/atom
**Formation energy without anion corrections**: 0.26 eV/atom
**E above lowest polymorph**: 322 meV per atom

Cell and atoms, written as CIF:
```
data_Al2InS
_chemical_formula_sum 'Al8 In4 S4'
_cell_length_a 6.808
_cell_length_b 6.808
_cell_length_c 6.808
_cell_angle_alpha 90.00
_cell_angle_beta 90.00
_cell_angle_gamma 90.00
_symmetry_space_group_name_H-M 'F m -3 m'
_symmetry_Int_Tables_number 225
_symmetry_space_group_name_Hall '-F 4 2 3'
loop_
_atom_site_label
_atom_site_type_symbol
_atom_site_fract_x
_atom_site_fract_y
_atom_site_fract_z
Al1 Al 0.250 0.250 0.250
In1 In 0.000 0.000 0.000
S1 S 0.000 0.000 0.500
```

Short version: density of states at the Fermi level = 5.32, 4.85, 6.53, 6.46, 7.83, 0.97, 26.74, 5.96, 0.63, 11.28, 3.97, 4.38, 15.76 states/eV/cell, in the order given.
Short version: M_tot = 0.00, 0.00, 0.00, 0.00, 0.26, 9.93, 0.00, 0.00, 0.00, 0.00, 0.00, 0.00, 0.00 μB/f.u., in the order given.
Short version: volume = 272.20, 127.82, 114.46, 126.77, 274.31, 96.68, 333.50, 170.52, 116.93, 311.45, 189.01, 133.63, 315.53 Å³ per cell, in the order given.